(1)
Crystalline TbPmCuGe at its relaxed geometry, computed with GGA-PBE.

Cell: 7.1444 7.1444 7.1444 Å, 90.00 90.00 90.00°
With the nearest neighbours (Å) after each atom.
Space group F-43m (No. 216)
Symmetry-distinct sites (fractional):
Tb (0.0000, 0.0000, 0.0000) (multiplicity 4)  4 Ge 3.09, 4 Cu 3.09
Pm (0.0000, 0.0000, 0.5000) (multiplicity 4)  4 Cu 3.09, 4 Ge 3.09
Cu (0.2500, 0.2500, 0.7500) (multiplicity 4)  4 Tb 3.09, 4 Pm 3.09
Ge (0.2500, 0.2500, 0.2500) (multiplicity 4)  4 Tb 3.09, 4 Pm 3.09

total DFT energy (no corrections)	-5.0053	eV/atom
ΔH_f (0 K)	-1.9	eV/f.u.
N(E_F)	0.87	states/eV per atom
total magnetization	0.0	μB per cell

(2)
Crystalline Tb3HgOs at its relaxed geometry, computed with GGA-PBE.

Cell: 5.6182 6.1646 8.6972 Å, 103.10 100.46 113.25°
With the nearest neighbours (Å) after each atom.
Space group P-1 (No. 2)
Symmetry-distinct sites (fractional):
Tb (0.0607, 0.1937, 0.2765) (multiplicity 2)  2 Os 2.83-2.84, 1 Hg 3.15
Tb (0.2858, 0.4184, 0.7235) (multiplicity 2)  2 Os 2.83-2.84, 1 Hg 3.15
Tb (0.3013, 0.8012, 0.1028) (multiplicity 2)  4 Os 2.93-3.19
Hg (0.3321, 0.7595, 0.4988) (multiplicity 2)  1 Hg 2.81
Os (0.2498, 0.2500, 0.9996) (multiplicity 2)  6 Tb 2.83-2.93

total DFT energy (no corrections)	-5.4296	eV/atom
ΔH_f (0 K)	-1.7	eV/f.u.
N(E_F)	0.71	states/eV per atom
total magnetization	0.0	μB per cell